## i
DFT (PBE) results for a relaxed Na5TlCd2 crystal.

Cell: 8.221 8.221 14.310 Å, 90.00 90.00 90.00°
Space group I4/mcm (No. 140)
One atom of each set of equivalent atoms:
Na (0.000, 0.000, 0.000) (multiplicity 4)
Na (0.165, 0.335, 0.153) (multiplicity 16)
Tl (0.000, 0.000, 0.250) (multiplicity 4)
Cd (0.129, 0.371, 0.500) (multiplicity 8)

Properties
Fermi-level density of states: 13.7 states/eV/cell

***

## ii
DFT (PBE) results for a relaxed Na5TlCd2 crystal.

Cell: 3.255 16.347 18.837 Å, 90.00 90.00 90.00°
Space group Cmcm (No. 63)
One atom of each set of equivalent atoms:
Na (0.000, 0.036, 0.148) (multiplicity 8)
Na (0.000, 0.140, 0.750) (multiplicity 4)
Na (0.000, 0.254, 0.089) (multiplicity 8)
Tl (0.000, 0.188, 0.250) (multiplicity 4)
Cd (0.000, 0.091, 0.518) (multiplicity 8)

Properties
Fermi-level density of states: 9.8 states/eV/cell

***

Most stable structure: i

***

## i
DFT (PBE) results for a relaxed Na7Tl2Cd2 crystal.

Cell: 8.319 13.339 6.453 Å, 90.00 102.72 90.00°
Space group C2/m (No. 12)
One atom of each set of equivalent atoms:
Na (0.000, 0.000, 0.000) (multiplicity 2)
Na (0.167, 0.267, 0.225) (multiplicity 8)
Na (0.174, 0.500, 0.651) (multiplicity 4)
Tl (0.000, 0.116, 0.500) (multiplicity 4)
Cd (0.165, 0.500, 0.149) (multiplicity 4)

Properties
Fermi-level density of states: 8.1 states/eV/cell

***

## ii
DFT (PBE) results for a relaxed Na7Tl2Cd2 crystal.

Cell: 5.082 15.122 8.534 Å, 90.00 90.00 90.00°
Space group Imm2 (No. 44)
One atom of each set of equivalent atoms:
Na (0.000, 0.000, 0.000) (multiplicity 2)
Na (0.000, 0.150, 0.326) (multiplicity 4)
Na (0.000, 0.343, 0.546) (multiplicity 4)
Na (0.000, 0.356, 0.109) (multiplicity 4)
Tl (0.000, 0.000, 0.615) (multiplicity 2)
Tl (0.000, 0.500, 0.816) (multiplicity 2)
Cd (0.000, 0.196, 0.825) (multiplicity 4)

Properties
Fermi-level density of states: 11.2 states/eV/cell

***

Most stable structure: ii

***

## i
DFT (PBE) results for a relaxed Na6Tl2Cd crystal.

Cell: 5.5403 5.5403 31.8540 Å, 90.00 90.00 120.00°
Space group R-3m (No. 166, hexagonal axes)
One atom of each set of equivalent atoms:
Na (0.0000, 0.0000, 0.0807) (multiplicity 6)
Na (0.0000, 0.0000, 0.1997) (multiplicity 6)
Na (0.0000, 0.0000, 0.3076) (multiplicity 6)
Tl (0.0000, 0.0000, 0.4086) (multiplicity 6)
Cd (0.0000, 0.0000, 0.5000) (multiplicity 3)

Properties
Fermi-level density of states: 13.1 states/eV/cell

***

## ii
DFT (PBE) results for a relaxed Na6Tl2Cd crystal.

Cell: 16.536 9.400 3.318 Å, 90.00 91.60 90.00°
Space group C2/m (No. 12)
One atom of each set of equivalent atoms:
Na (0.000, 0.168, 0.000) (multiplicity 4)
Na (0.166, 0.333, 0.996) (multiplicity 8)
Tl (0.167, 0.000, 0.500) (multiplicity 4)
Cd (0.000, 0.500, 0.500) (multiplicity 2)

Properties
Fermi-level density of states: 8.1 states/eV/cell

***

Most stable structure: i

***

## i
DFT (PBE) results for a relaxed Na2Tl5Cd3 crystal.

Cell: 11.474 14.845 6.624 Å, 90.00 93.93 90.00°
Space group C2/c (No. 15)
One atom of each set of equivalent atoms:
Na (0.124, 0.249, 0.120) (multiplicity 8)
Tl (0.000, 0.449, 0.250) (multiplicity 4)
Tl (0.129, 0.154, 0.595) (multiplicity 8)
Tl (0.241, 0.047, 0.997) (multiplicity 8)
Cd (0.000, 0.035, 0.250) (multiplicity 4)
Cd (0.117, 0.359, 0.639) (multiplicity 8)

Properties
Fermi-level density of states: 18.4 states/eV/cell

***

## ii
DFT (PBE) results for a relaxed Na2Tl5Cd3 crystal.

Cell: 13.133 14.430 6.491 Å, 90.00 90.00 90.00°
Space group Ibam (No. 72)
One atom of each set of equivalent atoms:
Na (0.138, 0.222, 0.000) (multiplicity 8)
Tl (0.000, 0.000, 0.250) (multiplicity 4)
Tl (0.095, 0.341, 0.500) (multiplicity 8)
Tl (0.237, 0.500, 0.250) (multiplicity 8)
Cd (0.000, 0.500, 0.250) (multiplicity 4)
Cd (0.134, 0.142, 0.500) (multiplicity 8)

Properties
Fermi-level density of states: 17.5 states/eV/cell

***

Most stable structure: i

***

## i
DFT (PBE) results for a relaxed Na12Tl2Cd5 crystal.

Cell: 12.454 10.829 8.623 Å, 90.00 104.51 90.00°
Space group C2/m (No. 12)
One atom of each set of equivalent atoms:
Na (0.039, 0.000, 0.205) (multiplicity 4)
Na (0.085, 0.500, 0.383) (multiplicity 4)
Na (0.100, 0.260, 0.887) (multiplicity 8)
Na (0.215, 0.228, 0.307) (multiplicity 8)
Tl (0.000, 0.226, 0.500) (multiplicity 4)
Cd (0.000, 0.500, 0.000) (multiplicity 2)
Cd (0.152, 0.000, 0.598) (multiplicity 4)
Cd (0.249, 0.000, 0.957) (multiplicity 4)

Properties
Fermi-level density of states: 15.9 states/eV/cell

***

## ii
DFT (PBE) results for a relaxed Na12Tl2Cd5 crystal.

Cell: 12.616 11.034 8.550 Å, 90.00 105.20 90.00°
Space group C2/m (No. 12)
One atom of each set of equivalent atoms:
Na (0.100, 0.000, 0.165) (multiplicity 4)
Na (0.107, 0.262, 0.394) (multiplicity 8)
Na (0.111, 0.500, 0.740) (multiplicity 4)
Na (0.181, 0.171, 0.819) (multiplicity 8)
Tl (0.000, 0.264, 0.000) (multiplicity 4)
Cd (0.000, 0.000, 0.500) (multiplicity 2)
Cd (0.110, 0.500, 0.139) (multiplicity 4)
Cd (0.240, 0.000, 0.531) (multiplicity 4)

Properties
Fermi-level density of states: 20.4 states/eV/cell

***

Most stable structure: ii